1.
Compound: BaTaBe
Source: the Open Quantum Materials Database
Functional: PBE
Structure: optimized geometry

Cell: 6.6736 6.6736 6.6736 Å, 90.00 90.00 90.00°
Closest atoms and distances in Å follow each position.
Space group F-43m (No. 216)
Symmetry-distinct sites (fractional):
Ba 0.0000 0.0000 0.0000 x4  4 Be 2.89
Ta 0.0000 0.0000 0.5000 x4  4 Be 2.89
Be 0.2500 0.2500 0.2500 x4  4 Ba 2.89, 4 Ta 2.89

Summary:
Calculated volume (Å³/atom): 24.77
Energy above the lowest structure with this stoichiometry (meV per atom): 0.0



2.
Compound: CsRbPdS2
Source: the Open Quantum Materials Database
Functional: PBE
Structure: optimized geometry

Cell: 3.7353 7.5154 10.2338 Å, 90.00 90.00 90.00°
Closest atoms and distances in Å follow each position.
Space group Imm2 (No. 44)
Symmetry-distinct sites (fractional):
Cs 0.0000 0.0000 0.0000 x2  6 S 3.49-3.53, 2 Pd 3.69, 2 Cs 3.74, 1 Rb 3.88
Rb 0.0000 0.0000 0.6206 x2  6 S 3.50-3.52, 2 Pd 3.67, 2 Rb 3.74, 1 Cs 3.88
Pd 0.0000 0.5000 0.8113 x2  4 S 2.41
S 0.0000 0.2033 0.3112 x4  2 Pd 2.41

Summary:
Total energy (eV per cell): -39.16
Calculated volume (Å³/atom): 28.73



3.
Compound: RePOsO
Source: the Open Quantum Materials Database
Functional: PBE
Structure: optimized geometry

Cell: 4.0578 4.0578 5.9017 Å, 90.00 90.00 90.00°
Closest atoms and distances in Å follow each position.
Space group P4/nmm (No. 129, origin choice 2)
Symmetry-distinct sites (fractional):
Re 0.2500 0.7500 0.0000 x2  4 P 2.40
P 0.2500 0.2500 0.2178 x2  4 Re 2.40, 1 Os 2.58, 4 O 2.62
Os 0.2500 0.2500 0.6546 x2  4 O 2.22
O 0.2500 0.7500 0.5000 x2  4 Os 2.22

Summary:
Calculated volume (Å³/atom): 12.15
Energy above the lowest structure with this stoichiometry (meV per atom): 274.1



4.
Compound: NaTcAgTeSe2
Source: the Open Quantum Materials Database
Functional: PBE
Structure: optimized geometry

Cell: 3.7009 14.4449 10.3985 Å, 90.00 90.00 90.00°
Closest atoms and distances in Å follow each position.
Space group Cmcm (No. 63)
Symmetry-distinct sites (fractional):
Na 0.0000 0.2303 0.2500 x4  2 Ag 3.09, 2 Te 3.23, 4 Se 3.34
Tc 0.0000 0.0000 0.0000 x4  4 Se 2.61, 2 Te 2.88
Ag 0.0000 0.4408 0.7500 x4  2 Se 2.54, 2 Te 2.80
Te 0.0000 0.0863 0.7500 x4  2 Ag 2.80, 2 Tc 2.88
Se 0.0000 0.3738 0.5244 x8  1 Ag 2.54, 2 Tc 2.61

Summary:
Total energy (eV per cell): -103.99
Calculated volume (Å³/atom): 23.16



5.
Compound: RbSiPd
Source: the Open Quantum Materials Database
Functional: PBE
Structure: optimized geometry

Cell: 6.8672 6.8672 6.8672 Å, 90.00 90.00 90.00°
Closest atoms and distances in Å follow each position.
Space group F-43m (No. 216)
Symmetry-distinct sites (fractional):
Rb 0.0000 0.0000 0.0000 x4  4 Si 2.97
Si 0.2500 0.2500 0.7500 x4  4 Rb 2.97, 4 Pd 2.97
Pd 0.0000 0.0000 0.5000 x4  4 Si 2.97

Summary:
Calculated volume (Å³/atom): 26.99
Energy above the lowest structure with this stoichiometry (meV per atom): 127.4



6.
Compound: Dy2AgSn6
Source: the Open Quantum Materials Database
Functional: PBE
Structure: optimized geometry

Cell: 4.4537 23.0304 4.5384 Å, 90.00 90.00 90.00°
Closest atoms and distances in Å follow each position.
Space group Cmmm (No. 65)
Symmetry-distinct sites (fractional):
Dy 0.0000 0.1824 0.0000 x4  10 Sn 3.22-3.44
Ag 0.0000 0.5000 0.5000 x2  8 Sn 2.90
Sn 0.0000 0.0805 0.5000 x4  2 Ag 2.90, 4 Sn 3.18
Sn 0.0000 0.2946 0.5000 x4  2 Sn 3.03, 4 Dy 3.22
Sn 0.0000 0.4218 0.0000 x4  2 Ag 2.90, 4 Sn 3.18

Summary:
Total energy (eV per cell): -78.87
Calculated volume (Å³/atom): 25.86



7.
Compound: Pr3InS6
Source: the Open Quantum Materials Database
Functional: PBE
Structure: optimized geometry

Cell: 13.8961 16.9206 4.0323 Å, 90.00 90.00 90.00°
Closest atoms and distances in Å follow each position.
Space group P2_12_12 (No. 18)
Symmetry-distinct sites (fractional):
Pr 0.0362 0.2223 0.2471 x4  8 S 2.92-3.00
Pr 0.1919 0.6432 0.2457 x4  7 S 2.85-3.04
Pr 0.2482 0.3910 0.2407 x4  8 S 2.89-3.16
In 0.0000 0.0000 0.9040 x2  4 S 2.47-2.53
In 0.0000 0.5000 0.7453 x2  6 S 2.64-2.67
S 0.0207 0.3977 0.2452 x4  2 In 2.67, 1 Pr 2.98
S 0.1022 0.9107 0.2637 x4  1 In 2.53
S 0.1058 0.1110 0.7491 x4  1 In 2.47
S 0.1148 0.7440 0.7472 x4  5 Pr 2.85-3.13
S 0.1776 0.2824 0.7428 x4  5 Pr 2.89-3.00, 1 S 3.07
S 0.1888 0.5179 0.7445 x4  1 In 2.64, 2 Pr 2.92-2.93

Summary:
Total energy (eV per cell): -235.09
Calculated volume (Å³/atom): 23.70



8.
Compound: Sc8Cu2Tc
Source: the Open Quantum Materials Database
Functional: PBE
Structure: optimized geometry

Cell: 15.8286 4.7521 6.3175 Å, 90.00 108.97 90.00°
Closest atoms and distances in Å follow each position.
Space group C2/m (No. 12)
Symmetry-distinct sites (fractional):
Sc 0.0300 0.0000 0.2942 x4  1 Cu 2.67, 2 Tc 2.82
Sc 0.0950 0.5000 0.9445 x4  1 Tc 2.72, 2 Cu 2.95
Sc 0.1676 0.5000 0.4686 x4  1 Cu 2.60, 1 Tc 2.72
Sc 0.1928 0.0000 0.8002 x4  1 Cu 2.59
Cu 0.1825 0.0000 0.2006 x4  3 Sc 2.59-2.67
Tc 0.0000 0.5000 0.5000 x2  8 Sc 2.72-2.82

Summary:
Total energy (eV per cell): -140.92
Calculated volume (Å³/atom): 20.43